Compound: LiRe3
Source: Alexandria
Functional: PBE
Structure: optimized geometry

Lattice parameters (Å, degrees): 4.5710 4.5710 4.9075 94.72 94.72 34.37
Closest atoms and distances in Å follow each position.
Element x y z (fractional)
Li (0.0000, 0.0000, 0.0000)  10 Re 2.53-2.80, 2 Li 2.70
Re (0.2448, 0.2448, 0.7581)  3 Li 2.53-2.78, 7 Re 2.66-2.74
Re (0.5000, 0.5000, 0.5000)  8 Re 2.66-2.74, 4 Li 2.80
Re (0.7552, 0.7552, 0.2419)  3 Li 2.53-2.78, 7 Re 2.66-2.74

Summary:
* symmetry: C2/m (12)
* distance to the lowest polymorph of the same formula: 122.7 meV/atom
* energy of formation from the pure elements: 309 meV per atom


Compound: LiPdBr
Source: Alexandria
Functional: PBE
Structure: optimized geometry

Lattice parameters (Å, degrees): 4.2598 4.2598 9.8506 90.00 90.00 120.00
Closest atoms and distances in Å follow each position.
Element x y z (fractional)
Li (0.3333, 0.6667, 0.2500)  3 Br 2.46
Li (0.6667, 0.3333, 0.7500)  3 Br 2.46
Pd (0.0000, 0.0000, 0.0000)  2 Br 2.46
Pd (0.0000, 0.0000, 0.5000)  2 Br 2.46
Br (0.0000, 0.0000, 0.2500)  3 Li 2.46, 2 Pd 2.46
Br (0.0000, 0.0000, 0.7500)  3 Li 2.46, 2 Pd 2.46

Summary:
* formation energy from raw total energies: -0.37 eV per atom
* symmetry: P6_3/mmc (194)
* distance to the lowest polymorph of the same formula: 266.7 meV/atom


Compound: Ba2TcTe
Source: Alexandria
Functional: PBE
Structure: optimized geometry

Lattice parameters (Å, degrees): 4.7650 6.4183 6.4183 45.83 90.00 90.00
Closest atoms and distances in Å follow each position.
Element x y z (fractional)
Ba (0.0000, 0.0000, 0.0000)  3 Tc 3.37-3.65, 4 Te 3.61
Ba (0.5000, 0.2862, 0.2862)  3 Te 3.43-3.57, 4 Tc 3.63
Tc (0.0000, 0.6914, 0.6914)  2 Te 2.68
Te (0.5000, 0.5878, 0.5878)  2 Tc 2.68

Summary:
* formation energy from raw total energies: -0.12 eV per atom
* symmetry: Amm2 (38)
* distance to the lowest polymorph of the same formula: 0.0 meV/atom


Compound: Sr2AlSi
Source: Alexandria
Functional: PBE
Structure: optimized geometry

Lattice parameters (Å, degrees): 3.8881 3.8881 7.6406 90.00 90.00 90.00
Closest atoms and distances in Å follow each position.
Element x y z (fractional)
Sr (0.0000, 0.0000, 0.2373)  4 Si 3.29, 4 Al 3.40, 1 Sr 3.63
Sr (0.0000, 0.0000, 0.7627)  4 Si 3.29, 4 Al 3.40, 1 Sr 3.63
Al (0.5000, 0.5000, 0.5000)  8 Sr 3.40
Si (0.5000, 0.5000, 0.0000)  8 Sr 3.29

Summary:
* formation energy from raw total energies: -0.12 eV per atom
* symmetry: P4/mmm (123)


Compound: LaSc2Ru
Source: Alexandria
Functional: PBE
Structure: optimized geometry

Lattice parameters (Å, degrees): 3.3047 4.4585 5.8558 90.00 90.00 90.00
Closest atoms and distances in Å follow each position.
Element x y z (fractional)
La (0.0000, 0.0000, 0.0000)  2 Ru 2.93, 8 Sc 3.22
Sc (0.5000, 0.5000, 0.2788)  1 Sc 2.59
Sc (0.5000, 0.5000, 0.7212)  1 Sc 2.59
Ru (0.0000, 0.0000, 0.5000)  2 La 2.93, 8 Sc 3.06

Summary:
* symmetry: Pmmm (47)
* distance to the lowest polymorph of the same formula: 355.0 meV/atom
* energy of formation from the pure elements: 28 meV per atom


Compound: GaFeRhCl2
Source: Alexandria
Functional: PBE
Structure: optimized geometry

Lattice parameters (Å, degrees): 4.8380 4.8380 4.8768 90.00 90.00 90.00
Closest atoms and distances in Å follow each position.
Element x y z (fractional)
Ga (0.0000, 0.0000, 0.0000)  2 Rh 2.44
Fe (0.5000, 0.5000, 0.0000)  4 Ga 3.42, 8 Cl 3.43
Rh (0.0000, 0.0000, 0.5000)  4 Cl 2.42, 2 Ga 2.44
Cl (0.0000, 0.5000, 0.5000)  2 Rh 2.42
Cl (0.5000, 0.0000, 0.5000)  2 Rh 2.42

Summary:
* formation energy from raw total energies: 0.46 eV per atom
* symmetry: P4/mmm (123)
* distance to the lowest polymorph of the same formula: 0.0 meV/atom


Compound: PuSb3Te6
Source: Alexandria
Functional: PBE
Structure: optimized geometry

Lattice parameters (Å, degrees): 13.0174 4.2678 13.1771 90.00 109.04 90.00
Closest atoms and distances in Å follow each position.
Element x y z (fractional)
Pu (0.1909, 0.2500, 0.0379)  8 Te 3.16-3.33
Pu (0.8091, 0.7500, 0.9621)  8 Te 3.16-3.33
Sb (0.0448, 0.7500, 0.3021)  5 Te 2.90-3.24
Sb (0.3444, 0.2500, 0.4398)  4 Te 2.96-3.24
Sb (0.3967, 0.7500, 0.8532)  3 Te 2.89-2.93
Sb (0.6033, 0.2500, 0.1468)  3 Te 2.89-2.93
Sb (0.6556, 0.7500, 0.5602)  4 Te 2.96-3.24
Sb (0.9552, 0.2500, 0.6979)  5 Te 2.90-3.24
Te (0.0288, 0.7500, 0.8936)  3 Pu 3.16-3.27, 2 Sb 3.24
Te (0.1255, 0.2500, 0.4689)  3 Sb 3.00
Te (0.2339, 0.2500, 0.8020)  2 Sb 2.93
Te (0.2387, 0.7500, 0.2398)  1 Sb 2.90
Te (0.3903, 0.7500, 0.0707)  1 Sb 2.89
Te (0.4241, 0.7500, 0.6023)  3 Sb 2.96-3.24
Te (0.5759, 0.2500, 0.3977)  3 Sb 2.96-3.24
Te (0.6097, 0.2500, 0.9293)  1 Sb 2.89
Te (0.7613, 0.2500, 0.7602)  1 Sb 2.90
Te (0.7661, 0.7500, 0.1980)  2 Sb 2.93
Te (0.8745, 0.7500, 0.5311)  3 Sb 3.00
Te (0.9712, 0.2500, 0.1064)  3 Pu 3.16-3.27, 2 Sb 3.24

Summary:
* formation energy from raw total energies: -0.32 eV per atom
* symmetry: P2_1/m (11)


Compound: SmAlCo
Source: Alexandria
Functional: PBE
Structure: optimized geometry

Lattice parameters (Å, degrees): 4.2029 4.2029 3.9407 90.00 90.00 120.00
Closest atoms and distances in Å follow each position.
Element x y z (fractional)
Sm (0.0000, 0.0000, 0.0000)  6 Al 3.13, 6 Co 3.13
Al (0.3333, 0.6667, 0.5000)  3 Co 2.43
Co (0.6667, 0.3333, 0.5000)  3 Al 2.43

Summary:
* symmetry: P-6m2 (187)
* energy of formation from the pure elements: -254 meV per atom


Compound: SrPb2Au
Source: Alexandria
Functional: PBE
Structure: optimized geometry

Lattice parameters (Å, degrees): 5.0195 4.7827 5.4550 90.00 104.68 90.00
Closest atoms and distances in Å follow each position.
Element x y z (fractional)
Sr (0.0000, 0.0000, 0.0000)  2 Au 3.20, 4 Pb 3.48
Pb (0.3084, 0.5000, 0.6985)  2 Au 2.89
Pb (0.6916, 0.5000, 0.3015)  2 Au 2.89
Au (0.5000, 0.0000, 0.5000)  4 Pb 2.89, 2 Sr 3.20

Summary:
* symmetry: P2/m (10)
* energy of formation from the pure elements: -385 meV per atom


Compound: Cs2TlTeBr6
Source: Alexandria
Functional: PBE
Structure: optimized geometry

Lattice parameters (Å, degrees): 8.5656 8.5656 8.5656 122.04 122.04 86.50
Closest atoms and distances in Å follow each position.
Element x y z (fractional)
Cs (0.2500, 0.7500, 0.5000)  12 Br 4.15-4.29
Cs (0.7500, 0.2500, 0.5000)  12 Br 4.15-4.29
Tl (0.0000, 0.0000, 0.0000)  6 Br 3.02-3.13
Te (0.5000, 0.5000, 0.0000)  4 Br 2.74
Br (0.2416, 0.2416, 0.0000)  1 Tl 3.02, 1 Te 3.22
Br (0.2666, 0.2666, 0.5332)  1 Te 2.74
Br (0.2666, 0.7334, 0.0000)  1 Te 2.74
Br (0.7334, 0.2666, 0.0000)  1 Te 2.74
Br (0.7334, 0.7334, 0.4668)  1 Te 2.74
Br (0.7584, 0.7584, 0.0000)  1 Tl 3.02, 1 Te 3.22

Summary:
* formation energy from raw total energies: -1.00 eV per atom
* symmetry: I4/mmm (139)


In the order shown, the computed magnetization values come out to 0.00; 0.00; 0.92; 0.00; 0.00; 3.97; 4.99; 0.00; 0.00; 0.00 μB/f.u..